Density functional theory data (PBE-GGA) for a relaxed structure of KSb2W.

Cell and atoms, written as extended XYZ:
```
8
Lattice="3.253 0.000 0.000 0.000 6.935 0.000 0.000 0.000 10.855" Properties=species:S:1:pos:R:3 pbc="T T T"
K 0.000 0.000 0.000
K 1.627 3.468 5.428
Sb 0.000 3.468 2.146
Sb 0.000 3.468 8.709
Sb 1.627 0.000 3.282
Sb 1.627 0.000 7.574
W 0.000 0.000 5.428
W 1.627 3.468 0.000
```

Output
Magnetization (μB per cell): 1.580
DOS at the Fermi energy (states/eV per atom): 0.638
Space-group type: Immm (71)
Formation energy (no corrections) (eV per atom): 0.51

Density functional theory data (PBE-GGA) for a relaxed structure of KSb2W2.

Cell and atoms, written as extended XYZ:
```
10
Lattice="8.669 0.000 0.000 0.000 8.669 0.000 0.000 0.000 3.242" Properties=species:S:1:pos:R:3 pbc="T T T"
K 0.000 0.000 0.000
K 4.335 4.335 0.000
Sb 1.457 2.878 1.621
Sb 2.878 7.212 1.621
Sb 5.791 1.457 1.621
Sb 7.212 5.791 1.621
W 0.829 5.164 0.000
W 3.505 0.829 0.000
W 5.164 7.840 0.000
W 7.840 3.505 0.000
```

Output
Magnetization (μB per cell): 0.000
DOS at the Fermi energy (states/eV per atom): 0.499
Space-group type: P4/mbm (127)
Formation energy (no corrections) (eV per atom): 0.61

Density functional theory data (PBE-GGA) for a relaxed structure of KSb2W.

Cell and atoms, written as extended XYZ:
```
16
Lattice="6.827 0.000 0.000 0.000 6.827 0.000 0.000 0.000 15.183" Properties=species:S:1:pos:R:3 pbc="T T T"
K 0.000 0.000 0.000
K 0.000 3.413 3.796
K 3.413 0.000 11.387
K 3.413 3.413 7.591
Sb 0.017 5.120 9.489
Sb 1.707 0.017 5.694
Sb 1.707 3.397 13.285
Sb 3.397 5.120 1.898
Sb 3.430 1.707 1.898
Sb 5.120 3.430 13.285
Sb 5.120 6.810 5.694
Sb 6.810 1.707 9.489
W 0.000 0.000 7.591
W 0.000 3.413 11.387
W 3.413 0.000 3.796
W 3.413 3.413 0.000
```

Output
Magnetization (μB per cell): 0.000
DOS at the Fermi energy (states/eV per atom): 0.693
Space-group type: I-42d (122)
Formation energy (no corrections) (eV per atom): 0.44

Density functional theory data (PBE-GGA) for a relaxed structure of KSb2W.

Cell and atoms, written as extended XYZ:
```
4
Lattice="3.706 0.000 0.000 0.000 3.706 0.000 0.000 0.000 8.274" Properties=species:S:1:pos:R:3 pbc="T T T"
K 0.000 0.000 0.000
Sb 0.000 0.000 4.648
Sb 1.853 1.853 2.541
W 1.853 1.853 5.311
```

Output
Magnetization (μB per cell): 0.000
DOS at the Fermi energy (states/eV per atom): 0.570
Space-group type: P4mm (99)
Formation energy (no corrections) (eV per atom): 0.55

Density functional theory data (PBE-GGA) for a relaxed structure of KSb3W.

Cell and atoms, written as extended XYZ:
```
5
Lattice="5.378 0.000 0.000 0.000 5.378 0.000 0.000 0.000 5.378" Properties=species:S:1:pos:R:3 pbc="T T T"
K 0.000 0.000 0.000
Sb 0.000 2.689 2.689
Sb 2.689 0.000 2.689
Sb 2.689 2.689 0.000
W 2.689 2.689 2.689
```

Output
Magnetization (μB per cell): 0.000
DOS at the Fermi energy (states/eV per atom): 1.205
Space-group type: Pm-3m (221)
Formation energy (no corrections) (eV per atom): 0.31

Density functional theory data (PBE-GGA) for a relaxed structure of KSb2W.

Cell and atoms, written as extended XYZ:
```
8
Lattice="3.759 0.000 0.000 0.000 4.738 0.000 0.000 0.000 11.901" Properties=species:S:1:pos:R:3 pbc="T T T"
K 0.000 0.000 0.000
K 1.880 2.369 0.000
Sb 0.000 0.000 6.842
Sb 0.000 2.369 3.049
Sb 1.880 0.000 3.049
Sb 1.880 2.369 6.842
W 0.000 2.369 8.941
W 1.880 0.000 8.941
```

Output
Magnetization (μB per cell): 0.001
DOS at the Fermi energy (states/eV per atom): 0.692
Space-group type: Cmm2 (35)
Formation energy (no corrections) (eV per atom): 0.70

In eV/atom, the total DFT energy (no corrections) values for the records above are, in order, -5.065, -6.438, -5.133, -5.028, -4.973, -4.876.
In eV/f.u., the relative energy among the computed polymorphs values for the records above are, in order, 1.65, 0.45, 1.38, 1.80, 0.00, 2.41.